PBEsol SrCd3Pd, relaxed; SG = Pm-3m (221); raw total energy = -2.496 eV per atom; energy of formation = -0.22 eV per atom
1.0
5.124 0.000 0.000
0.000 5.124 0.000
0.000 0.000 5.124
Sr Cd Pd
1 3 1
Direct
0.000 0.000 0.000 Sr
0.000 0.500 0.500 Cd
0.500 0.000 0.500 Cd
0.500 0.500 0.000 Cd
0.500 0.500 0.500 Pd